# 1
DFT (meta-GGA SCAN) results for a crystal of InCo2Ir2 relaxed with PBEsol.

Unit cell a=3.426 b=3.426 c=12.366 alpha=90.00 beta=90.00 gamma=90.00
Sites, in units of the cell vectors:
In: 0.000 0.000 0.000
In: 0.500 0.500 0.500
Co: 0.000 0.500 0.250
Co: 0.000 0.500 0.750
Co: 0.500 0.000 0.250
Co: 0.500 0.000 0.750
Ir: 0.000 0.000 0.392
Ir: 0.000 0.000 0.608
Ir: 0.500 0.500 0.108
Ir: 0.500 0.500 0.892

Results
SG: No. 139
energy relative to the elements: 1.49 eV per formula unit
crystal system: tetragonal



# 2
DFT (meta-GGA SCAN) results for a crystal of In2CoIr relaxed with PBEsol.

Unit cell a=2.930 b=2.930 c=7.918 alpha=90.00 beta=90.00 gamma=90.00
Sites, in units of the cell vectors:
In: 0.000 0.000 0.000
In: 0.500 0.500 0.347
Co: 0.500 0.500 0.776
Ir: 0.000 0.000 0.592

Results
SG: No. 99
energy relative to the elements: 0.70 eV per formula unit
crystal system: tetragonal



Asked for raw total energy across the records above, the calculation gives -41.740 -38.618 eV per atom in order.
Asked for N(E_F) across the records above, the calculation gives 9.80 2.09 states/eV/cell in order.